(1)
{
  "formula": "LuAgPt",
  "functional": "GGA-PBE",
  "state": "optimized geometry",
  "cell": [[0.000, 3.241, 3.241], [3.241, 0.000, 3.241], [3.241, 3.241, 0.000]],
  "species": ["Lu", "Ag", "Pt"],
  "fractional_positions": [[0.000, 0.000, 0.000], [0.500, 0.500, 0.500], [0.750, 0.750, 0.750]],
  "total_magnetization_mub_per_fu": 0.0,
  "e_tot_ev_per_atom": -5.15,
  "ef_mev_per_atom": -684,
  "de_polymorph_ev_per_atom": 0.000
}

(2)
{
  "formula": "PaSnNO",
  "functional": "GGA-PBE",
  "state": "optimized geometry",
  "cell": [[4.431, 0.000, 0.000], [0.000, 4.431, 0.000], [0.000, 0.000, 6.981]],
  "species": ["Pa", "Pa", "Sn", "Sn", "N", "N", "O", "O"],
  "fractional_positions": [[0.250, 0.250, 0.096], [0.750, 0.750, 0.904], [0.250, 0.750, 0.500], [0.750, 0.250, 0.500], [0.250, 0.250, 0.790], [0.750, 0.750, 0.210], [0.250, 0.750, 0.000], [0.750, 0.250, 0.000]],
  "total_magnetization_mub_per_fu": 0.0,
  "e_tot_ev_per_atom": -7.07,
  "de_polymorph_ev_per_atom": 0.512
}

(3)
{
  "formula": "NpB",
  "functional": "GGA-PBE",
  "state": "optimized geometry",
  "cell": [[0.000, 2.532, 2.532], [2.532, 0.000, 2.532], [2.532, 2.532, 0.000]],
  "species": ["Np", "B"],
  "fractional_positions": [[0.000, 0.000, 0.000], [0.500, 0.500, 0.500]],
  "total_magnetization_mub_per_fu": 3.0,
  "e_tot_ev_per_atom": -9.18,
  "de_polymorph_ev_per_atom": 0.355
}

(4)
{
  "formula": "LuMgZr",
  "functional": "GGA-PBE",
  "state": "optimized geometry",
  "cell": [[0.000, 3.490, 3.490], [3.490, 0.000, 3.490], [3.490, 3.490, 0.000]],
  "species": ["Lu", "Mg", "Zr"],
  "fractional_positions": [[0.000, 0.000, 0.000], [0.250, 0.250, 0.250], [0.500, 0.500, 0.500]],
  "total_magnetization_mub_per_fu": 1.3,
  "e_tot_ev_per_atom": -4.20,
  "de_polymorph_ev_per_atom": 0.000
}

(5)
{
  "formula": "BeCdSO",
  "functional": "GGA-PBE",
  "state": "optimized geometry",
  "cell": [[3.907, 0.000, 0.000], [0.000, 3.907, 0.000], [0.000, 0.000, 7.797]],
  "species": ["Be", "Be", "Cd", "Cd", "S", "S", "O", "O"],
  "fractional_positions": [[0.250, 0.250, 0.207], [0.750, 0.750, 0.793], [0.250, 0.750, 0.500], [0.750, 0.250, 0.500], [0.250, 0.250, 0.818], [0.750, 0.750, 0.182], [0.250, 0.250, 0.021], [0.750, 0.750, 0.979]],
  "e_tot_ev_per_atom": -3.68,
  "de_polymorph_ev_per_atom": 1.190
}

(6)
{
  "formula": "CoSbMoOs",
  "functional": "GGA-PBE",
  "state": "optimized geometry",
  "cell": [[0.000, 3.129, 3.129], [3.129, 0.000, 3.129], [3.129, 3.129, 0.000]],
  "species": ["Co", "Sb", "Mo", "Os"],
  "fractional_positions": [[0.000, 0.000, 0.000], [0.750, 0.750, 0.750], [0.250, 0.250, 0.250], [0.500, 0.500, 0.500]],
  "total_magnetization_mub_per_fu": 1.8,
  "e_tot_ev_per_atom": -7.89,
  "de_polymorph_ev_per_atom": 0.000
}

(7)
{
  "formula": "Ba3LaIr2O9",
  "functional": "GGA-PBE",
  "state": "optimized geometry",
  "cell": [[5.957, 0.000, 0.000], [-2.979, 5.159, 0.000], [0.000, 0.000, 15.053]],
  "species": ["Ba", "Ba", "Ba", "Ba", "Ba", "Ba", "La", "La", "Ir", "Ir", "Ir", "Ir", "O", "O", "O", "O", "O", "O", "O", "O", "O", "O", "O", "O", "O", "O", "O", "O", "O", "O"],
  "fractional_positions": [[0.000, 0.000, 0.250], [0.000, 0.000, 0.750], [0.333, 0.667, 0.102], [0.333, 0.667, 0.398], [0.667, 0.333, 0.602], [0.667, 0.333, 0.898], [0.000, 0.000, 0.000], [0.000, 0.000, 0.500], [0.333, 0.667, 0.667], [0.333, 0.667, 0.833], [0.667, 0.333, 0.167], [0.667, 0.333, 0.333], [0.014, 0.507, 0.750], [0.179, 0.357, 0.592], [0.179, 0.357, 0.908], [0.179, 0.821, 0.592], [0.179, 0.821, 0.908], [0.357, 0.179, 0.092], [0.357, 0.179, 0.408], [0.493, 0.507, 0.750], [0.493, 0.986, 0.750], [0.507, 0.014, 0.250], [0.507, 0.493, 0.250], [0.643, 0.821, 0.592], [0.643, 0.821, 0.908], [0.821, 0.179, 0.092], [0.821, 0.179, 0.408], [0.821, 0.643, 0.092], [0.821, 0.643, 0.408], [0.986, 0.493, 0.250]],
  "total_magnetization_mub_per_fu": 0.5,
  "e_tot_ev_per_atom": -6.93
}

(8)
{
  "formula": "Ho2LuIn3Ir2",
  "functional": "GGA-PBE",
  "state": "optimized geometry",
  "cell": [[3.621, 0.000, 0.000], [0.000, 6.557, 3.802], [0.000, -6.557, 3.802]],
  "species": ["Ho", "Ho", "Lu", "In", "In", "In", "Ir", "Ir"],
  "fractional_positions": [[0.000, 0.211, 0.789], [0.000, 0.789, 0.211], [0.000, 0.366, 0.366], [0.500, 0.025, 0.025], [0.500, 0.554, 0.788], [0.500, 0.788, 0.554], [0.500, 0.125, 0.455], [0.500, 0.455, 0.125]],
  "total_magnetization_mub_per_fu": 0.0,
  "e_tot_ev_per_atom": -5.61
}

(9)
{
  "formula": "Er3In3CuNiPd",
  "functional": "GGA-PBE",
  "state": "optimized geometry",
  "cell": [[7.535, 0.000, 0.000], [-3.767, 6.525, 0.000], [0.000, 0.000, 3.806]],
  "species": ["Er", "Er", "Er", "In", "In", "In", "Cu", "Ni", "Pd"],
  "fractional_positions": [[0.082, 0.740, 0.000], [0.260, 0.342, 0.000], [0.658, 0.918, 0.000], [0.414, 0.075, 0.500], [0.662, 0.586, 0.500], [0.925, 0.338, 0.500], [0.667, 0.333, 0.000], [0.333, 0.667, 0.500], [0.000, 0.000, 0.500]],
  "total_magnetization_mub_per_fu": 0.0,
  "e_tot_ev_per_atom": -4.63
}

(10)
{
  "formula": "Pr3CdPt8",
  "functional": "GGA-PBE",
  "state": "optimized geometry",
  "cell": [[2.750, 1.588, 8.995], [-2.750, 1.588, 8.995], [0.000, -3.176, 8.995]],
  "species": ["Pr", "Pr", "Pr", "Cd", "Pt", "Pt", "Pt", "Pt", "Pt", "Pt", "Pt", "Pt"],
  "fractional_positions": [[0.000, 0.000, 0.000], [0.128, 0.128, 0.128], [0.616, 0.616, 0.616], [0.493, 0.493, 0.493], [0.059, 0.059, 0.564], [0.059, 0.564, 0.059], [0.060, 0.560, 0.560], [0.310, 0.310, 0.310], [0.560, 0.060, 0.560], [0.560, 0.560, 0.060], [0.564, 0.059, 0.059], [0.811, 0.811, 0.811]],
  "total_magnetization_mub_per_fu": 0.0,
  "e_tot_ev_per_atom": -6.23,
  "ef_mev_per_atom": -927
}

(11)
{
  "formula": "SrYBeAu",
  "functional": "GGA-PBE",
  "state": "optimized geometry",
  "cell": [[0.000, 3.648, 3.648], [3.648, 0.000, 3.648], [3.648, 3.648, 0.000]],
  "species": ["Sr", "Y", "Be", "Au"],
  "fractional_positions": [[0.000, 0.000, 0.000], [0.500, 0.500, 0.500], [0.250, 0.250, 0.250], [0.750, 0.750, 0.750]],
  "total_magnetization_mub_per_fu": 0.0,
  "e_tot_ev_per_atom": -3.93,
  "de_polymorph_ev_per_atom": 0.000
}

(12)
{
  "formula": "NaDyPO",
  "functional": "GGA-PBE",
  "state": "optimized geometry",
  "cell": [[5.567, 0.000, 0.000], [0.000, 5.567, 0.000], [0.000, 0.000, 4.886]],
  "species": ["Na", "Na", "Dy", "Dy", "P", "P", "O", "O"],
  "fractional_positions": [[0.250, 0.250, 0.005], [0.750, 0.750, 0.995], [0.250, 0.750, 0.500], [0.750, 0.250, 0.500], [0.250, 0.250, 0.505], [0.750, 0.750, 0.495], [0.250, 0.750, 0.000], [0.750, 0.250, 0.000]],
  "total_magnetization_mub_per_fu": 0.9,
  "e_tot_ev_per_atom": -5.29,
  "de_polymorph_ev_per_atom": 0.400
}